# Cd2CuRePb

Cd2CuRePb at its PBEsol-relaxed geometry (meta-GGA SCAN, the Alexandria database).

```
Cd2CuRePb
1.0
4.762 0.000 0.000
0.000 5.410 0.000
0.000 0.000 5.410
Cu Pb Cd Re
1 1 2 1
direct
0.500 0.000 0.000
0.000 0.000 0.000
0.000 0.000 0.500
0.000 0.500 0.000
0.500 0.500 0.500
```

Output
- N(E_F) (states/eV per cell) = 1.93
- formation energy from the elements (eV/atom) = 1.787

---

# PrCdCu

PrCdCu at its PBEsol-relaxed geometry (meta-GGA SCAN, the Alexandria database).

```
PrCdCu
1.0
3.979 0.000 0.000
0.000 7.530 0.000
0.000 -3.765 6.521
Cd Pr Cu
3 3 3
direct
0.000 0.755 0.000
0.000 0.000 0.755
0.000 0.245 0.245
0.500 0.414 0.000
0.500 0.000 0.414
0.500 0.586 0.586
0.000 0.667 0.333
0.500 0.000 0.000
0.000 0.333 0.667
```

Output
- N(E_F) (states/eV per cell) = 7.02
- formation energy from the elements (eV/atom) = -0.314

---

# Cd3CuPt

Cd3CuPt at its PBEsol-relaxed geometry (meta-GGA SCAN, the Alexandria database).

```
Cd3CuPt
1.0
4.712 0.000 0.000
0.000 4.712 0.000
0.000 0.000 4.712
Pt Cu Cd
1 1 3
direct
0.500 0.500 0.500
0.000 0.000 0.000
0.000 0.500 0.000
0.000 0.000 0.500
0.500 0.000 0.000
```

Output
- N(E_F) (states/eV per cell) = 2.27
- formation energy from the elements (eV/atom) = 0.572

---

# Cd2CuPt

Cd2CuPt at its PBEsol-relaxed geometry (meta-GGA SCAN, the Alexandria database).

```
Cd2CuPt
1.0
2.913 0.000 0.000
0.000 3.832 0.000
0.000 0.000 5.784
Cd Pt Cu
2 1 1
direct
0.000 0.000 0.244
0.000 0.000 0.756
0.500 0.500 0.500
0.500 0.500 0.000
```

Output
- N(E_F) (states/eV per cell) = 1.31
- formation energy from the elements (eV/atom) = -0.145

---

# Cd2CuPt

Cd2CuPt at its PBEsol-relaxed geometry (meta-GGA SCAN, the Alexandria database).

```
Cd2CuPt
1.0
4.060 0.000 0.000
0.000 4.060 0.000
-2.030 -2.030 3.919
Cd Pt Cu
2 1 1
direct
0.750 0.250 0.500
0.250 0.750 0.500
0.000 0.000 0.000
0.500 0.500 0.000
```

Output
- N(E_F) (states/eV per cell) = 1.32
- formation energy from the elements (eV/atom) = -0.174

---

# Cd2CuPt

Cd2CuPt at its PBEsol-relaxed geometry (meta-GGA SCAN, the Alexandria database).

```
Cd2CuPt
1.0
2.893 0.000 0.000
0.000 4.756 -0.088
-1.446 -1.566 4.785
Cu Cd Pt
1 2 1
direct
0.518 0.463 0.036
0.769 0.308 0.539
0.985 0.948 0.970
0.228 0.781 0.456
```

Output
- N(E_F) (states/eV per cell) = 1.07
- formation energy from the elements (eV/atom) = -0.165

---

# CdCu4Pt

CdCu4Pt at its PBEsol-relaxed geometry (meta-GGA SCAN, the Alexandria database).

```
CdCu4Pt
1.0
4.812 0.000 0.000
2.406 4.167 0.000
2.406 1.389 3.929
Cd Cu Pt
1 4 1
direct
0.000 0.000 0.000
0.625 0.625 0.625
0.625 0.126 0.625
0.126 0.625 0.625
0.625 0.625 0.126
0.250 0.250 0.250
```

Output
- N(E_F) (states/eV per cell) = 2.42
- formation energy from the elements (eV/atom) = -0.057

---

# Cd2CuPt

Cd2CuPt at its PBEsol-relaxed geometry (meta-GGA SCAN, the Alexandria database).

```
Cd2CuPt
1.0
-2.188 0.774 1.737
2.137 -3.818 1.975
2.795 3.660 1.889
Cd Cu Pt
2 1 1
direct
0.252 0.505 0.254
0.748 0.495 0.746
0.000 0.000 0.500
0.500 0.000 0.000
```

Output
- N(E_F) (states/eV per cell) = 1.07
- formation energy from the elements (eV/atom) = -0.076

---

# RbCd2Cu

RbCd2Cu at its PBEsol-relaxed geometry (meta-GGA SCAN, the Alexandria database).

```
RbCd2Cu
1.0
-1.767 -4.502 2.015
3.379 -3.519 1.911
0.265 -0.842 5.165
Cu Rb Cd
1 1 2
direct
0.000 0.000 0.000
0.500 0.500 0.500
0.750 0.750 0.750
0.250 0.250 0.250
```

Output
- N(E_F) (states/eV per cell) = 1.36
- formation energy from the elements (eV/atom) = 0.441

---

# Cd3CuRe

Cd3CuRe at its PBEsol-relaxed geometry (meta-GGA SCAN, the Alexandria database).

```
Cd3CuRe
1.0
-1.178 -4.390 2.442
1.732 -2.709 -4.035
4.715 -0.101 2.092
Cu Cd Re
1 3 1
direct
0.500 0.500 0.500
0.000 0.000 0.500
0.000 0.500 0.000
0.500 0.000 0.000
0.000 0.000 0.000
```

Output
- N(E_F) (states/eV per cell) = 3.54
- formation energy from the elements (eV/atom) = 1.481

---

# CdCuRh2

CdCuRh2 at its PBEsol-relaxed geometry (meta-GGA SCAN, the Alexandria database).

```
CdCuRh2
1.0
-0.691 -0.155 -2.678
-1.092 -2.510 0.427
-6.598 3.131 1.521
Cd Cu Rh
1 1 2
direct
0.000 0.000 0.506
0.500 0.500 0.767
0.000 0.000 0.997
0.500 0.500 0.229
```

Output
- N(E_F) (states/eV per cell) = 3.67
- formation energy from the elements (eV/atom) = 0.038

---

# CdCu2Rh

CdCu2Rh at its PBEsol-relaxed geometry (meta-GGA SCAN, the Alexandria database).

```
CdCu2Rh
1.0
-1.368 1.232 -3.541
-3.044 -1.372 2.948
-2.139 2.839 1.815
Rh Cu Cd
1 2 1
direct
0.000 0.000 0.000
0.250 0.500 0.250
0.750 0.500 0.750
0.500 0.000 0.500
```

Output
- N(E_F) (states/eV per cell) = 1.67
- formation energy from the elements (eV/atom) = 0.019

---

# CdCuRh2

CdCuRh2 at its PBEsol-relaxed geometry (meta-GGA SCAN, the Alexandria database).

```
CdCuRh2
1.0
2.748 0.000 0.000
-1.374 4.488 -0.005
0.000 -0.934 4.626
Rh Cd Cu
2 1 1
direct
0.258 0.516 0.269
0.742 0.484 0.731
0.500 0.000 0.000
0.000 0.000 0.500
```

Output
- N(E_F) (states/eV per cell) = 4.03
- formation energy from the elements (eV/atom) = 0.034

---

# CdCuRh2

CdCuRh2 at its PBEsol-relaxed geometry (meta-GGA SCAN, the Alexandria database).

```
CdCuRh2
1.0
2.758 0.000 0.000
1.379 2.389 0.000
1.379 0.796 8.671
Rh Cd Cu
2 1 1
direct
0.256 0.256 0.233
0.744 0.744 0.767
0.500 0.500 0.500
0.000 0.000 0.000
```

Output
- N(E_F) (states/eV per cell) = 4.41
- formation energy from the elements (eV/atom) = 0.089

---

# CdCu2Rh

CdCu2Rh at its PBEsol-relaxed geometry (meta-GGA SCAN, the Alexandria database).

```
CdCu2Rh
1.0
2.966 0.000 0.000
0.000 2.966 0.000
0.000 0.000 6.256
Rh Cd Cu
1 1 2
direct
0.000 0.000 0.469
0.500 0.500 0.758
0.500 0.500 0.238
0.000 0.000 0.036
```

Output
- N(E_F) (states/eV per cell) = 2.25
- formation energy from the elements (eV/atom) = 0.025

---

# CdCu2Rh

CdCu2Rh at its PBEsol-relaxed geometry (meta-GGA SCAN, the Alexandria database).

```
CdCu2Rh
1.0
3.714 0.000 0.000
0.000 3.850 0.000
0.000 0.000 3.850
Rh Cu Cd
1 2 1
direct
0.500 0.500 0.500
0.000 0.000 0.500
0.000 0.500 0.000
0.500 0.000 0.000
```

Output
- N(E_F) (states/eV per cell) = 2.28
- formation energy from the elements (eV/atom) = 0.000

---

# CdCu2Rh

CdCu2Rh at its PBEsol-relaxed geometry (meta-GGA SCAN, the Alexandria database).

```
CdCu2Rh
1.0
3.857 0.000 0.000
0.000 3.857 0.000
-1.929 -1.929 3.719
Cu Rh Cd
2 1 1
direct
0.000 0.000 0.000
0.750 0.250 0.500
0.500 0.500 0.000
0.250 0.750 0.500
```

Output
- N(E_F) (states/eV per cell) = 2.20
- formation energy from the elements (eV/atom) = 0.038

---

# CdCuRu

CdCuRu at its PBEsol-relaxed geometry (meta-GGA SCAN, the Alexandria database).

```
CdCuRu
1.0
2.750 0.000 0.000
-1.375 2.382 0.000
0.000 0.000 6.673
Ru Cu Cd
1 1 1
direct
0.667 0.333 0.351
0.333 0.667 0.654
0.000 0.000 0.995
```

Output
- N(E_F) (states/eV per cell) = 1.53
- formation energy from the elements (eV/atom) = 0.326

---

# CdCuRu

CdCuRu at its PBEsol-relaxed geometry (meta-GGA SCAN, the Alexandria database).

```
CdCuRu
1.0
4.232 0.000 0.000
2.116 3.665 0.000
2.116 1.222 3.455
Cu Ru Cd
1 1 1
direct
0.500 0.500 0.500
0.250 0.250 0.250
0.000 0.000 0.000
```

Output
- N(E_F) (states/eV per cell) = 2.16
- formation energy from the elements (eV/atom) = 0.881

---

# CdCuS2

CdCuS2 at its PBEsol-relaxed geometry (meta-GGA SCAN, the Alexandria database).

```
CdCuS2
1.0
5.502 0.000 0.000
0.000 5.502 0.000
-2.751 -2.751 5.395
S Cd Cu
4 2 2
direct
0.418 0.875 0.250
0.125 0.168 0.750
0.625 0.582 0.750
0.832 0.375 0.250
0.250 0.750 0.500
0.000 0.000 0.000
0.750 0.250 0.500
0.500 0.500 0.000
```

Output
- N(E_F) (states/eV per cell) = 5.84
- E_form (uncorrected) (eV/atom) = -0.438

---

# CdCuS2

CdCuS2 at its PBEsol-relaxed geometry (meta-GGA SCAN, the Alexandria database).

```
CdCuS2
1.0
-2.951 -0.493 -1.904
-1.223 -3.282 -0.558
-5.327 -0.809 5.163
S Cu Cd
2 1 1
direct
0.889 0.889 0.332
0.111 0.111 0.668
0.500 0.500 0.500
0.000 0.000 0.000
```

Output
- N(E_F) (states/eV per cell) = 1.84
- E_form (uncorrected) (eV/atom) = -0.095

---

# ZnCdCu4Sn2S8

ZnCdCu4Sn2S8 at its PBEsol-relaxed geometry (meta-GGA SCAN, the Alexandria database).

```
ZnCdCu4Sn2S8
1.0
-1.448 -5.097 1.261
5.237 -1.495 -0.032
0.746 2.389 10.512
S Cu Sn Zn Cd
8 4 2 1 1
direct
0.745 0.745 0.144
0.255 0.255 0.144
0.745 0.255 0.856
0.743 0.743 0.632
0.257 0.743 0.368
0.255 0.745 0.856
0.743 0.257 0.368
0.257 0.257 0.632
0.000 0.500 0.744
0.000 0.500 0.256
0.500 0.000 0.744
0.500 0.000 0.256
0.000 0.000 0.500
0.500 0.500 0.000
0.500 0.500 0.500
0.000 0.000 0.000
```

Output
- N(E_F) (states/eV per cell) = 0.19
- E_form (uncorrected) (eV/atom) = -0.502

---

# CdCu2Sb

CdCu2Sb at its PBEsol-relaxed geometry (meta-GGA SCAN, the Alexandria database).

```
CdCu2Sb
1.0
3.123 0.000 0.000
1.562 2.705 0.000
1.562 0.902 8.465
Cu Cd Sb
2 1 1
direct
0.741 0.741 0.777
0.009 0.009 0.974
0.263 0.263 0.210
0.487 0.487 0.539
```

Output
- N(E_F) (states/eV per cell) = 1.21
- E_form (uncorrected) (eV/atom) = 0.285

---

# CdCuSb2

CdCuSb2 at its PBEsol-relaxed geometry (meta-GGA SCAN, the Alexandria database).

```
CdCuSb2
1.0
-3.345 -1.539 1.550
2.077 -4.529 -0.015
0.811 2.651 4.381
Sb Cd Cu
2 1 1
direct
0.000 0.685 0.807
0.000 0.315 0.193
0.500 0.000 0.500
0.500 0.500 0.000
```

Output
- N(E_F) (states/eV per cell) = 1.55
- E_form (uncorrected) (eV/atom) = 0.117

---

# CdCuSb

CdCuSb at its PBEsol-relaxed geometry (meta-GGA SCAN, the Alexandria database).

```
CdCuSb
1.0
3.109 0.073 0.000
-0.049 3.110 0.000
-1.530 -1.592 6.115
Cu Cd Sb
1 1 1
direct
0.664 0.664 0.328
0.027 0.027 0.053
0.310 0.310 0.619
```

Output
- N(E_F) (states/eV per cell) = 1.25
- E_form (uncorrected) (eV/atom) = 0.203

---

# CdCuSb2

CdCuSb2 at its PBEsol-relaxed geometry (meta-GGA SCAN, the Alexandria database).

```
CdCuSb2
1.0
3.053 0.032 0.000
-0.031 3.053 0.000
0.000 0.000 9.302
Cd Sb Cu
1 2 1
direct
0.000 0.000 0.448
0.000 0.000 0.062
0.500 0.500 0.729
0.500 0.500 0.261
```

Output
- N(E_F) (states/eV per cell) = 1.76
- E_form (uncorrected) (eV/atom) = 0.213

---

# Cd2CuSb

Cd2CuSb at its PBEsol-relaxed geometry (meta-GGA SCAN, the Alexandria database).

```
Cd2CuSb
1.0
-0.932 2.875 0.798
-2.892 -1.076 0.502
1.924 -1.537 7.788
Sb Cd Cu
1 2 1
direct
0.500 0.500 0.296
0.000 0.000 0.978
0.500 0.500 0.715
0.000 0.000 0.510
```

Output
- N(E_F) (states/eV per cell) = 1.82
- E_form (uncorrected) (eV/atom) = 0.162

---

# CdCuSb2

CdCuSb2 at its PBEsol-relaxed geometry (meta-GGA SCAN, the Alexandria database).

```
CdCuSb2
1.0
3.494 0.000 0.000
0.000 4.124 0.000
-1.747 -2.062 6.175
Cu Sb Cd
1 2 1
direct
0.265 0.765 0.530
0.937 0.937 0.873
0.737 0.237 0.475
0.561 0.561 0.122
```

Output
- N(E_F) (states/eV per cell) = 1.65
- E_form (uncorrected) (eV/atom) = 0.168

---

# CdCu2Sb

CdCu2Sb at its PBEsol-relaxed geometry (meta-GGA SCAN, the Alexandria database).

```
CdCu2Sb
1.0
3.082 0.000 0.000
-1.541 4.148 0.012
0.000 -1.039 5.604
Sb Cu Cd
1 2 1
direct
0.489 0.978 0.442
0.740 0.480 0.200
0.008 0.015 0.051
0.263 0.527 0.807
```

Output
- N(E_F) (states/eV per cell) = 1.45
- E_form (uncorrected) (eV/atom) = 0.166

---

no.,final energy (eV/cell)
1,-213.97
2,-269.64
3,-173.77
4,-146.80
5,-146.92
6,-146.88
7,-161.75
8,-146.53
9,-95.00
10,-170.13
11,-113.00
12,-94.51
13,-113.02
14,-112.80
15,-94.49
16,-94.58
17,-94.43
18,-79.46
19,-77.80
20,-133.25
21,-65.25
22,-261.63
23,-96.93
24,-119.67
25,-82.27
26,-119.28
27,-112.64
28,-119.46
29,-97.41